Entry from the Alexandria database: a PBEsol-optimized structure of Dy3Zr (meta-GGA SCAN).

Cell lengths 4.767, 4.767, 4.767 Å; angles 90.00, 90.00, 90.00 degrees
Fractional positions:
Dy (0.000, 0.000, 0.500)
Dy (0.000, 0.500, 0.000)
Dy (0.500, 0.000, 0.000)
Zr (0.500, 0.500, 0.500)

Formation energy from the elements in eV/atom: 0.089

=====

Entry from the Alexandria database: a PBEsol-optimized structure of Ba2WCl (meta-GGA SCAN).

Cell lengths 11.027, 11.027, 11.027 Å; angles 18.71, 18.71, 18.71 degrees
Fractional positions:
Ba (0.000, 0.000, 0.000)
Ba (0.214, 0.214, 0.214)
W (0.742, 0.742, 0.742)
Cl (0.477, 0.477, 0.477)

Relative energy among the computed polymorphs in kJ/mol of atoms: 60.7
Formation energy from raw total energies in eV/f.u.: 3.150

=====

Entry from the Alexandria database: a PBEsol-optimized structure of Ca4BeCl (meta-GGA SCAN).

Cell lengths 6.668, 6.668, 6.668 Å; angles 60.00, 60.00, 60.00 degrees
Fractional positions:
Ca (0.376, 0.376, 0.376)
Ca (0.376, 0.376, 0.872)
Ca (0.376, 0.872, 0.376)
Ca (0.872, 0.376, 0.376)
Be (0.750, 0.750, 0.750)
Cl (0.000, 0.000, 0.000)

Formation energy from raw total energies in eV/f.u.: 2.905

=====

Entry from the Alexandria database: a PBEsol-optimized structure of Hf2ZnGeBr (meta-GGA SCAN).

Cell lengths 5.032, 5.032, 5.067 Å; angles 90.00, 90.00, 90.00 degrees
Fractional positions:
Hf (0.000, 0.500, 0.000)
Hf (0.500, 0.000, 0.000)
Zn (0.000, 0.000, 0.500)
Ge (0.500, 0.500, 0.000)
Br (0.500, 0.500, 0.500)

Formation energy from raw total energies in eV/f.u.: 4.437